Version a
Zr3Al2Cu: optimized geometry, PBE.

calculated density	5.594	Mg/m³

Cell: 6.0860 6.0860 7.2413 Å, 90.00 90.00 120.01°
Last column: nearest neighbours and their distance in Å.
Fractional positions:
Zr 0.1695 0.3391 0.6710  3 Al 2.95-2.98, 6 Zr 2.99-3.10, 3 Cu 3.00-3.04
Cu 0.6667 0.3333 0.6674  3 Al 2.98, 9 Zr 3.00-3.04
Al 0.0000 0.5000 0.0000  4 Zr 2.95, 2 Cu 2.98, 6 Al 3.04
Al 0.5000 0.5000 0.0000  4 Zr 2.95, 2 Cu 2.98, 6 Al 3.04
Al 0.0000 0.0000 0.0000  6 Zr 2.98, 6 Al 3.04
Zr 0.6609 0.8305 0.6710  3 Al 2.95-2.98, 6 Zr 2.99-3.10, 3 Cu 3.00-3.04
Zr 0.3391 0.1695 0.3290  3 Al 2.95-2.98, 6 Zr 2.99-3.10, 3 Cu 3.00-3.04
Zr 0.8305 0.6609 0.3290  3 Al 2.95-2.98, 6 Zr 2.99-3.10, 3 Cu 3.00-3.04
Al 0.5000 0.0000 0.0000  4 Zr 2.95, 2 Cu 2.98, 6 Al 3.04
Zr 0.8305 0.1695 0.3290  3 Al 2.95-2.98, 6 Zr 2.99-3.10, 3 Cu 3.00-3.04
Cu 0.3333 0.6667 0.3326  3 Al 2.98, 9 Zr 3.00-3.04
Zr 0.1695 0.8305 0.6710  3 Al 2.95-2.98, 6 Zr 2.99-3.10, 3 Cu 3.00-3.04


Version b
Zr3Al2Cu: optimized geometry, PBE.

calculated density	5.716	Mg/m³

Cell: 7.2101 7.2101 4.3299 Å, 90.00 90.00 149.68°
Last column: nearest neighbours and their distance in Å.
Fractional positions:
Al 0.8247 0.1753 0.5000  2 Al 2.81, 6 Zr 2.88-3.08
Zr 0.3392 0.6608 0.0000  6 Al 2.88-3.15, 2 Cu 2.93, 4 Zr 3.11-3.12
Zr 0.6608 0.3392 0.0000  6 Al 2.88-3.15, 2 Cu 2.93, 4 Zr 3.11-3.12
Al 0.1753 0.8247 0.5000  2 Al 2.81, 6 Zr 2.88-3.08
Zr 0.5000 0.5000 0.5000  4 Cu 2.87, 4 Al 3.08, 4 Zr 3.11
Cu 0.0000 0.0000 0.0000  8 Zr 2.87-2.93


Version c
Zr3Al2Cu: optimized geometry, PBE.

calculated density	4.924	Mg/m³

Cell: 5.5259 5.5259 4.9888 Å, 90.00 90.00 120.00°
Last column: nearest neighbours and their distance in Å.
Fractional positions:
Cu 0.0000 0.0000 0.0000  6 Al 3.19
Al 0.3333 0.6667 0.0000  6 Zr 2.96, 3 Cu 3.19, 3 Al 3.19
Zr 0.5000 0.5000 0.5000  4 Zr 2.76, 4 Al 2.96
Zr 0.5000 0.0000 0.5000  4 Zr 2.76, 4 Al 2.96
Al 0.6667 0.3333 0.0000  6 Zr 2.96, 3 Cu 3.19, 3 Al 3.19
Zr 0.0000 0.5000 0.5000  4 Zr 2.76, 4 Al 2.96


The data favor version b; the next most stable structure lies 0.208 eV/atom above it.


Version a
Zr4Al2Cu: optimized geometry, PBE.

calculated density	5.557	Mg/m³

Cell: 3.0275 3.0275 18.1591 Å, 90.00 90.00 120.00°
Last column: nearest neighbours and their distance in Å.
Fractional positions:
Zr 0.6667 0.3333 0.0796  9 Zr 3.03-3.38, 3 Al 3.03
Zr 0.6667 0.3333 0.6234  3 Cu 2.84, 1 Al 2.92, 6 Zr 3.03
Cu 0.0000 0.0000 0.5000  6 Zr 2.84, 6 Cu 3.03
Zr 0.3333 0.6667 0.3766  3 Cu 2.84, 1 Al 2.92, 6 Zr 3.03
Al 0.6667 0.3333 0.7842  4 Zr 2.92-3.03, 6 Al 3.03
Al 0.3333 0.6667 0.2158  4 Zr 2.92-3.03, 6 Al 3.03
Zr 0.3333 0.6667 0.9204  9 Zr 3.03-3.38, 3 Al 3.03


Version b
Zr4Al2Cu: optimized geometry, PBE.

calculated density	5.894	Mg/m³

Cell: 3.0885 3.0885 14.4142 Å, 83.84 83.84 89.90°
Last column: nearest neighbours and their distance in Å.
Fractional positions:
Zr 0.0011 0.0011 0.0456  4 Al 3.02, 8 Zr 3.09-3.21
Al 0.5746 0.5746 0.8993  8 Zr 2.99-3.02, 4 Al 3.09
Cu 0.8531 0.8531 0.3396  8 Zr 2.85-2.87, 4 Cu 3.09
Zr 0.2889 0.2889 0.4701  4 Cu 2.87, 4 Al 2.97, 4 Zr 3.09
Zr 0.4183 0.4183 0.2104  4 Cu 2.85-2.86, 4 Zr 3.09
Zr 0.1467 0.1467 0.7556  8 Al 2.99-3.00, 4 Zr 3.09
Al 0.7187 0.7187 0.6114  8 Zr 2.97-3.00, 4 Al 3.09


The data favor version b; the next most stable structure lies 0.431 eV/atom above it.


Version a
Zr4AlCu: optimized geometry, PBE.

calculated density	6.349	Mg/m³

Cell: 4.9308 4.9308 5.6576 Å, 90.00 90.00 120.00°
Last column: nearest neighbours and their distance in Å.
Fractional positions:
Zr 0.3333 0.6667 0.7500  5 Zr 2.83-2.85
Cu 0.0000 0.0000 0.0000  2 Al 2.83
Al 0.0000 0.0000 0.5000  2 Cu 2.83
Zr 0.6667 0.3333 0.2500  5 Zr 2.83-2.85
Zr 0.3333 0.6667 0.2500  5 Zr 2.83-2.85
Zr 0.6667 0.3333 0.7500  5 Zr 2.83-2.85


Version b
Zr4AlCu: optimized geometry, PBE.

calculated density	6.021	Mg/m³

Cell: 9.9683 9.9683 6.3881 Å, 90.00 90.00 156.69°
Last column: nearest neighbours and their distance in Å.
Fractional positions:
Zr 0.0000 0.0000 0.0000  8 Zr 2.98-3.31, 4 Al 3.03
Cu 0.2831 0.7169 0.2500  7 Zr 2.69-2.78
Zr 0.1693 0.8307 0.0114  3 Cu 2.69-2.78
Al 0.5822 0.4178 0.2500  11 Zr 3.03-3.20
Zr 0.4224 0.5776 0.2500  1 Cu 2.72, 4 Zr 2.98
Zr 0.8307 0.1693 0.9886  3 Cu 2.69-2.78
Zr 0.1693 0.8307 0.4886  3 Cu 2.69-2.78
Zr 0.5776 0.4224 0.7500  1 Cu 2.72, 4 Zr 2.98
Cu 0.7169 0.2831 0.7500  7 Zr 2.69-2.78
Zr 0.8307 0.1693 0.5114  3 Cu 2.69-2.78
Zr 0.0000 0.0000 0.5000  8 Zr 2.98-3.31, 4 Al 3.03
Al 0.4178 0.5822 0.7500  11 Zr 3.03-3.20


Version c
Zr4AlCu: optimized geometry, PBE.

calculated density	6.259	Mg/m³

Cell: 5.5386 5.5386 5.5386 Å, 101.26 101.26 127.56°
Last column: nearest neighbours and their distance in Å.
Fractional positions:
Zr 0.9030 0.4030 0.8061  2 Cu 2.93, 2 Al 2.93, 7 Zr 3.04-3.26
Zr 0.0970 0.9030 0.5000  2 Cu 2.93, 2 Al 2.93, 7 Zr 3.04-3.26
Al 0.0000 0.0000 0.0000  2 Cu 2.45
Zr 0.4030 0.5970 0.5000  2 Al 2.93, 2 Cu 2.93, 7 Zr 3.04-3.26
Zr 0.5970 0.0970 0.1939  2 Al 2.93, 2 Cu 2.93, 7 Zr 3.04-3.26
Cu 0.5000 0.5000 0.0000  2 Al 2.45


Version d
Zr4AlCu: optimized geometry, PBE.

calculated density	6.242	Mg/m³

Cell: 5.1482 6.8607 6.8607 Å, 90.00 90.00 90.00°
Last column: nearest neighbours and their distance in Å.
Fractional positions:
Zr 0.5000 0.3500 0.8418  2 Cu 2.87, 2 Al 2.93, 3 Zr 2.99-3.18
Al 0.2500 0.0000 0.0000  2 Al 2.57
Zr 0.0000 0.1582 0.6500  2 Cu 2.87, 2 Al 2.93, 3 Zr 2.99-3.18
Zr 0.5000 0.8418 0.6500  2 Cu 2.87, 2 Al 2.93, 3 Zr 2.99-3.18
Zr 0.0000 0.8418 0.3500  2 Cu 2.87, 2 Al 2.93, 3 Zr 2.99-3.18
Al 0.7500 0.0000 0.0000  2 Al 2.57
Cu 0.2500 0.5000 0.5000  2 Cu 2.57, 8 Zr 2.87
Zr 0.0000 0.6500 0.8418  2 Cu 2.87, 2 Al 2.93, 3 Zr 2.99-3.18
Zr 0.5000 0.6500 0.1582  2 Cu 2.87, 2 Al 2.93, 3 Zr 2.99-3.18
Zr 0.0000 0.3500 0.1582  2 Cu 2.87, 2 Al 2.93, 3 Zr 2.99-3.18
Cu 0.7500 0.5000 0.5000  2 Cu 2.57, 8 Zr 2.87
Zr 0.5000 0.1582 0.3500  2 Cu 2.87, 2 Al 2.93, 3 Zr 2.99-3.18


The data favor version c; the next most stable structure lies 0.017 eV/atom above it.


Version a
Zr4AlCu: optimized geometry, PBE.

calculated density	5.893	Mg/m³

Cell: 5.6617 5.6617 5.6617 Å, 60.00 60.00 60.00°
Last column: nearest neighbours and their distance in Å.
Fractional positions:
Zr 0.8732 0.3756 0.3756  6 Zr 2.82-2.84
Zr 0.3756 0.3756 0.3756  6 Zr 2.82-2.84
Zr 0.3756 0.3756 0.8732  6 Zr 2.82-2.84
Cu 0.0000 0.0000 0.0000  12 Zr 3.32, 4 Al 3.47
Al 0.7500 0.7500 0.7500  12 Zr 3.32, 4 Cu 3.47
Zr 0.3756 0.8732 0.3756  6 Zr 2.82-2.84


Version b
Zr4AlCu: optimized geometry, PBE.

calculated density	6.220	Mg/m³

Cell: 3.0775 8.4422 9.3601 Å, 90.00 90.00 90.00°
Last column: nearest neighbours and their distance in Å.
Fractional positions:
Al 0.0000 0.5383 0.2500  1 Cu 2.90, 2 Al 3.08, 10 Zr 3.13-3.22
Zr 0.5000 0.6706 0.5280  2 Cu 2.82, 4 Zr 2.93-3.11, 2 Al 3.13
Zr 0.5000 0.3294 0.4720  2 Cu 2.82, 4 Zr 2.93-3.11, 2 Al 3.13
Zr 0.5000 0.1274 0.7500  8 Zr 3.00-3.11, 2 Cu 3.13, 2 Al 3.21
Zr 0.5000 0.3294 0.0280  2 Cu 2.82, 4 Zr 2.93-3.11, 2 Al 3.13
Al 0.0000 0.4617 0.7500  1 Cu 2.90, 2 Al 3.08, 10 Zr 3.13-3.22
Zr 0.0000 0.0000 0.0000  2 Cu 2.86, 10 Zr 3.00-3.19
Cu 0.0000 0.8046 0.7500  8 Zr 2.82-3.13, 1 Al 2.90, 2 Cu 3.08
Zr 0.5000 0.8726 0.2500  8 Zr 3.00-3.11, 2 Cu 3.13, 2 Al 3.21
Cu 0.0000 0.1954 0.2500  8 Zr 2.82-3.13, 1 Al 2.90, 2 Cu 3.08
Zr 0.0000 0.0000 0.5000  2 Cu 2.86, 10 Zr 3.00-3.19
Zr 0.5000 0.6706 0.9720  2 Cu 2.82, 4 Zr 2.93-3.11, 2 Al 3.13


The data favor version b; the next most stable structure lies 0.482 eV/atom above it.